(1)
Cu2PtAu2 GGA-PBE optimized geometry; density = 15.3 g/cm³; total moment = 0.00 μB/f.u.; SG = Cmmm, No. 65; N(E_F) = 1.41 states/eV/f.u.; formation energy from the elements = -0.0740 eV per atom; uncorrected energy = -4.232 eV/atom; energy above the most stable polymorph in this dataset = 0.000 eV per atom
1.0
-1.925 1.334 -1.567
-0.466 -2.384 -1.457
-7.158 -3.720 5.624
Au Pt Cu
2 1 2
Direct
0.000 0.185 0.629 Au
0.000 0.815 0.371 Au
0.000 0.000 0.000 Pt
0.500 0.410 0.180 Cu
0.500 0.590 0.820 Cu

---

(2)
Cu2PtAu8 GGA-PBE optimized geometry; density = 17.0 g/cm³; total moment = 0.00 μB/f.u.; SG = C2/m, No. 12; N(E_F) = 3.23 states/eV/f.u.; formation energy from the elements = -0.0021 eV per atom; uncorrected energy = -3.680 eV/atom; energy above the most stable polymorph in this dataset = 0.000 eV per atom
1.0
-0.292 -1.795 3.693
4.627 -4.243 -1.697
3.473 6.577 1.177
Pt Au Cu
1 8 2
Direct
0.500 0.000 0.000 Pt
0.318 0.084 0.637 Au
0.856 0.798 0.712 Au
0.954 0.270 0.908 Au
0.046 0.730 0.092 Au
0.682 0.916 0.363 Au
0.600 0.461 0.200 Au
0.144 0.202 0.288 Au
0.400 0.539 0.800 Au
0.226 0.640 0.452 Cu
0.774 0.360 0.548 Cu

---

(3)
CuPt2Au4 GGA-PBE optimized geometry; density = 17.3 g/cm³; total moment = 0.00 μB/f.u.; SG = R-3m, No. 166; N(E_F) = 2.81 states/eV/f.u.; formation energy from the elements = 0.0796 eV per atom; uncorrected energy = -4.104 eV/atom
1.0
2.808 0.000 0.000
1.404 2.432 0.000
1.404 0.811 17.472
Au Cu Pt
4 1 2
Direct
0.291 0.291 0.126 Au
0.858 0.858 0.427 Au
0.709 0.709 0.874 Au
0.142 0.142 0.573 Au
0.000 0.000 0.000 Cu
0.762 0.762 0.714 Pt
0.238 0.238 0.286 Pt

---

(4)
Cu2PtAu GGA-PBE optimized geometry; density = 14.9 g/cm³; total moment = 0.00 μB/f.u.; SG = Cm, No. 8; N(E_F) = 1.78 states/eV/f.u.; formation energy from the elements = -0.0793 eV per atom; uncorrected energy = -4.457 eV/atom
1.0
4.934 0.020 0.206
4.070 2.789 0.206
1.241 0.387 4.278
Pt Au Cu
1 1 2
Direct
0.490 0.490 0.549 Pt
0.258 0.258 0.204 Au
0.011 0.011 0.030 Cu
0.741 0.741 0.717 Cu

---

(5)
Cu3PtAu4 GGA-PBE optimized geometry; density = 15.5 g/cm³; total moment = 0.00 μB/f.u.; SG = C2/m, No. 12; N(E_F) = 2.85 states/eV/f.u.; formation energy from the elements = 0.0110 eV per atom; uncorrected energy = -3.919 eV/atom
1.0
-1.230 -1.948 1.756
3.132 -3.395 -1.573
-1.560 11.758 9.564
Pt Au Cu
1 4 3
Direct
0.000 0.000 0.000 Pt
0.128 0.299 0.256 Au
0.630 0.814 0.261 Au
0.370 0.186 0.739 Au
0.872 0.701 0.744 Au
0.500 0.500 0.000 Cu
0.250 0.248 0.500 Cu
0.750 0.752 0.500 Cu

---

(6)
CuPt3Au GGA-PBE optimized geometry; density = 17.9 g/cm³; total moment = 0.00 μB/f.u.; SG = C2/m, No. 12; N(E_F) = 4.71 states/eV/f.u.; formation energy from the elements = 0.0177 eV per atom; uncorrected energy = -5.081 eV/atom; energy above the most stable polymorph in this dataset = 0.000 eV per atom
1.0
-4.543 -1.163 0.583
2.394 -2.016 -4.512
1.765 -3.878 6.011
Pt Cu Au
6 2 2
Direct
0.646 0.292 0.551 Pt
0.254 0.508 0.745 Pt
0.746 0.492 0.255 Pt
0.354 0.708 0.449 Pt
0.948 0.896 0.649 Pt
0.052 0.104 0.351 Pt
0.545 0.091 0.849 Cu
0.455 0.909 0.151 Cu
0.846 0.693 0.957 Au
0.154 0.307 0.043 Au

---

(7)
Cu2Pt3Au GGA-PBE optimized geometry; density = 16.8 g/cm³; total moment = 0.00 μB/f.u.; SG = C2/m, No. 12; N(E_F) = 5.46 states/eV/f.u.; formation energy from the elements = -0.0633 eV per atom; uncorrected energy = -4.995 eV/atom; energy above the most stable polymorph in this dataset = 0.029 eV per atom
1.0
-0.856 -3.721 -0.745
4.360 -0.136 5.819
-7.813 1.711 0.437
Pt Cu Au
6 4 2
Direct
0.412 0.823 0.286 Pt
0.917 0.833 0.544 Pt
0.752 0.503 0.626 Pt
0.083 0.167 0.456 Pt
0.248 0.497 0.374 Pt
0.588 0.177 0.714 Pt
0.751 0.501 0.130 Cu
0.249 0.499 0.870 Cu
0.585 0.169 0.213 Cu
0.415 0.831 0.787 Cu
0.088 0.175 0.964 Au
0.912 0.825 0.036 Au

---

(8)
Cu6Pt3Au GGA-PBE optimized geometry; density = 14.0 g/cm³; total moment = 0.00 μB/f.u.; SG = P2_1/m, No. 11; N(E_F) = 5.42 states/eV/f.u.; formation energy from the elements = -0.1253 eV per atom; uncorrected energy = -4.723 eV/atom; energy above the most stable polymorph in this dataset = 0.000 eV per atom
1.0
3.888 0.000 0.000
0.000 8.256 -0.324
0.000 -0.116 8.589
Cu Pt Au
12 6 2
Direct
0.750 0.550 0.898 Cu
0.250 0.851 0.292 Cu
0.750 0.149 0.708 Cu
0.750 0.847 0.801 Cu
0.250 0.450 0.102 Cu
0.250 0.050 0.907 Cu
0.250 0.254 0.499 Cu
0.250 0.646 0.701 Cu
0.750 0.950 0.093 Cu
0.250 0.153 0.199 Cu
0.750 0.354 0.299 Cu
0.750 0.746 0.501 Cu
0.750 0.246 0.010 Pt
0.250 0.552 0.399 Pt
0.250 0.754 0.990 Pt
0.250 0.347 0.804 Pt
0.750 0.653 0.196 Pt
0.750 0.448 0.601 Pt
0.250 0.946 0.608 Au
0.750 0.054 0.392 Au

---

(9)
CuPt2Au GGA-PBE optimized geometry; density = 17.5 g/cm³; total moment = 0.00 μB/f.u.; SG = C2/m, No. 12; N(E_F) = 3.21 states/eV/f.u.; formation energy from the elements = -0.0801 eV per atom; uncorrected energy = -4.944 eV/atom; energy above the most stable polymorph in this dataset = 0.025 eV per atom
1.0
4.893 -0.012 0.006
4.089 2.687 0.006
0.931 0.277 4.679
Cu Pt Au
1 2 1
Direct
0.250 0.250 0.250 Cu
0.507 0.507 0.491 Pt
0.993 0.993 0.009 Pt
0.750 0.750 0.750 Au

---

(10)
Cu2PtAu GGA-PBE optimized geometry; density = 14.6 g/cm³; total moment = 0.00 μB/f.u.; SG = C2/m, No. 12; N(E_F) = 1.82 states/eV/f.u.; formation energy from the elements = -0.0569 eV per atom; uncorrected energy = -4.434 eV/atom
1.0
-1.230 3.286 -2.910
-3.551 2.361 -1.611
0.129 3.887 2.998
Pt Cu Au
1 2 1
Direct
0.750 0.750 0.750 Pt
0.498 0.498 0.514 Cu
0.002 0.002 0.986 Cu
0.250 0.250 0.250 Au

---

(11)
CuPt2Au6 GGA-PBE optimized geometry; density = 17.5 g/cm³; total moment = 0.00 μB/f.u.; SG = C2/c, No. 15; N(E_F) = 2.68 states/eV/f.u.; formation energy from the elements = 0.0490 eV per atom; uncorrected energy = -3.933 eV/atom; energy above the most stable polymorph in this dataset = 0.032 eV per atom
1.0
7.116 0.156 0.440
2.761 6.221 3.003
-0.157 0.156 7.128
Cu Au Pt
2 12 4
Direct
0.862 0.750 0.138 Cu
0.138 0.250 0.862 Cu
0.009 0.683 0.781 Au
0.354 0.356 0.095 Au
0.321 0.974 0.566 Au
0.219 0.817 0.991 Au
0.646 0.644 0.905 Au
0.566 0.474 0.321 Au
0.434 0.526 0.679 Au
0.781 0.183 0.009 Au
0.991 0.317 0.219 Au
0.679 0.026 0.434 Au
0.095 0.856 0.354 Au
0.905 0.144 0.646 Au
0.538 0.083 0.800 Pt
0.200 0.417 0.462 Pt
0.800 0.583 0.538 Pt
0.462 0.917 0.200 Pt

---

(12)
CuPt2Au GGA-PBE optimized geometry; density = 16.0 g/cm³; total moment = 0.00 μB/f.u.; SG = I-42d, No. 122; N(E_F) = 3.11 states/eV/f.u.; formation energy from the elements = 0.2214 eV per atom; uncorrected energy = -4.642 eV/atom; energy above the most stable polymorph in this dataset = 0.327 eV per atom
1.0
3.783 0.000 0.000
0.000 3.783 0.000
1.891 1.891 9.445
Au Pt Cu
2 4 2
Direct
0.750 0.250 0.500 Au
0.000 0.000 0.000 Au
0.375 0.382 0.750 Pt
0.618 0.125 0.250 Pt
0.875 0.868 0.750 Pt
0.132 0.625 0.250 Pt
0.250 0.750 0.500 Cu
0.500 0.500 0.000 Cu